# 1
The following is a GGA-PBE calculation of crystalline Sm2MnCu2Ni5 at its relaxed geometry, from Alexandria via LeMat-Bulk.

Calculated values
The value obtained for the formation energy is -1.34 eV/f.u. Its space group is P4/mbm (127). The calculation puts the volume at 15.1 Å³ per atom. The calculation puts the energy at -5.705 eV/atom.

a = 9.050 Å, b = 9.050 Å, c = 3.691 Å
α = 90.00°, β = 90.00°, γ = 90.00°
Atoms (fractional coordinates):
Sm  0.182  0.318  0.000
Sm  0.318  0.818  0.000
Sm  0.682  0.182  0.000
Sm  0.818  0.682  0.000
Mn  0.000  0.000  0.000
Mn  0.500  0.500  0.000
Cu  0.116  0.616  0.000
Cu  0.384  0.116  0.000
Cu  0.616  0.884  0.000
Cu  0.884  0.384  0.000
Ni  0.000  0.500  0.500
Ni  0.056  0.797  0.500
Ni  0.203  0.056  0.500
Ni  0.297  0.556  0.500
Ni  0.444  0.297  0.500
Ni  0.500  0.000  0.500
Ni  0.556  0.703  0.500
Ni  0.703  0.444  0.500
Ni  0.797  0.944  0.500
Ni  0.944  0.203  0.500

***

# 2
The following is a GGA-PBE calculation of crystalline BaSrAg2O at its relaxed geometry, from Alexandria via LeMat-Bulk.

Calculated values
The value obtained for the uncorrected formation energy is -0.474 eV per atom. Its space group is P4/mmm (123). The calculation puts the volume at 28.5 Å³ per atom. The calculation puts the energy at -3.327 eV/atom.

a = 5.568 Å, b = 5.568 Å, c = 4.599 Å
α = 90.00°, β = 90.00°, γ = 90.00°
Atoms (fractional coordinates):
Ba  0.000  0.000  0.000
Sr  0.500  0.500  0.000
Ag  0.000  0.500  0.500
Ag  0.500  0.000  0.500
O  0.500  0.500  0.500

***

# 3
The following is a GGA-PBE calculation of crystalline ErScPd2 at its relaxed geometry, from Alexandria via LeMat-Bulk.

Calculated values
The value obtained for the formation energy is -3.67 eV/f.u. Its space group is Cmcm (63). The calculation puts the volume at 20.0 Å³ per atom. The calculation puts the energy at -6.239 eV/atom. The calculation puts the energy above the most stable polymorph in this dataset at 0 meV/atom.

a = 10.060 Å, b = 10.060 Å, c = 4.568 Å
α = 90.00°, β = 90.00°, γ = 159.80°
Atoms (fractional coordinates):
Er  0.189  0.811  0.750
Er  0.811  0.189  0.250
Sc  0.056  0.944  0.250
Sc  0.944  0.056  0.750
Pd  0.337  0.663  0.750
Pd  0.443  0.557  0.250
Pd  0.557  0.443  0.750
Pd  0.663  0.337  0.250

***

# 4
The following is a GGA-PBE calculation of crystalline NaHPdBr2 at its relaxed geometry, from Alexandria via LeMat-Bulk.

Calculated values
Its space group is P4/mmm (123). The calculation puts the volume at 20.0 Å³ per atom. The calculation puts the energy at -3.211 eV/atom.

a = 5.280 Å, b = 5.280 Å, c = 3.582 Å
α = 90.00°, β = 90.00°, γ = 90.00°
Atoms (fractional coordinates):
Na  0.000  0.000  0.000
H  0.500  0.500  0.000
Pd  0.500  0.500  0.500
Br  0.000  0.500  0.500
Br  0.500  0.000  0.500

***

# 5
The following is a GGA-PBE calculation of crystalline GdSnCl2 at its relaxed geometry, from Alexandria via LeMat-Bulk.

Calculated values
The value obtained for the uncorrected formation energy is -0.797 eV per atom. Its space group is R-3m (166). The calculation puts the volume at 24.4 Å³ per atom. The calculation puts the energy at -6.241 eV/atom.

a = 5.260 Å, b = 5.260 Å, c = 5.260 Å
α = 57.73°, β = 57.73°, γ = 57.73°
Atoms (fractional coordinates):
Gd  0.000  0.000  0.000
Sn  0.500  0.500  0.500
Cl  0.236  0.236  0.236
Cl  0.764  0.764  0.764

***

# 6
The following is a GGA-PBE calculation of crystalline LiTh2Ni at its relaxed geometry, from Alexandria via LeMat-Bulk.

Calculated values
The value obtained for the formation energy is -0.09 eV/f.u. Its space group is P4/mmm (123). The calculation puts the volume at 23.2 Å³ per atom. The calculation puts the energy at -5.656 eV/atom.

a = 3.584 Å, b = 3.584 Å, c = 7.225 Å
α = 90.00°, β = 90.00°, γ = 90.00°
Atoms (fractional coordinates):
Li  0.000  0.000  0.000
Th  0.500  0.500  0.276
Th  0.500  0.500  0.724
Ni  0.000  0.000  0.500

***

# 7
The following is a GGA-PBE calculation of crystalline CsLaTc2 at its relaxed geometry, from Alexandria via LeMat-Bulk.

Calculated values
The value obtained for the formation energy is 6.39 eV/f.u. Its space group is Fm-3m (225). The calculation puts the volume at 24.2 Å³ per atom. The calculation puts the energy at -5.030 eV/atom.

a = 5.150 Å, b = 5.150 Å, c = 5.150 Å
α = 60.00°, β = 60.00°, γ = 60.00°
Atoms (fractional coordinates):
Cs  0.000  0.000  0.000
La  0.500  0.500  0.500
Tc  0.250  0.250  0.250
Tc  0.750  0.750  0.750

***

# 8
The following is a GGA-PBE calculation of crystalline YIn2Pt2 at its relaxed geometry, from Alexandria via LeMat-Bulk.

Calculated values
The value obtained for the formation energy is -3.58 eV/f.u. Its space group is I4/mmm (139). The calculation puts the volume at 21.8 Å³ per atom. The calculation puts the energy at -5.521 eV/atom.

a = 6.991 Å, b = 6.991 Å, c = 6.991 Å
α = 145.52°, β = 145.52°, γ = 49.56°
Atoms (fractional coordinates):
Y  0.000  0.000  0.000
In  0.250  0.750  0.500
In  0.750  0.250  0.500
Pt  0.397  0.397  0.000
Pt  0.603  0.603  0.000

***

# 9
The following is a GGA-PBE calculation of crystalline PrTc4P4 at its relaxed geometry, from Alexandria via LeMat-Bulk.

Calculated values
The value obtained for the formation energy is -5.04 eV/f.u. Its space group is P4_2/n (86). The calculation puts the volume at 16.9 Å³ per atom. The calculation puts the energy at -8.102 eV/atom.

a = 8.412 Å, b = 8.412 Å, c = 4.292 Å
α = 90.00°, β = 90.00°, γ = 90.00°
Atoms (fractional coordinates):
Pr  0.250  0.250  0.250
Pr  0.750  0.750  0.750
Tc  0.097  0.631  0.159
Tc  0.131  0.903  0.659
Tc  0.369  0.597  0.659
Tc  0.403  0.869  0.159
Tc  0.597  0.131  0.841
Tc  0.631  0.403  0.341
Tc  0.869  0.097  0.341
Tc  0.903  0.369  0.841
P  0.018  0.885  0.162
P  0.115  0.518  0.662
P  0.385  0.982  0.662
P  0.482  0.615  0.162
P  0.518  0.385  0.838
P  0.615  0.018  0.338
P  0.885  0.482  0.338
P  0.982  0.115  0.838

***

# 10
The following is a GGA-PBE calculation of crystalline Sr2GaRu2 at its relaxed geometry, from Alexandria via LeMat-Bulk.

Calculated values
The value obtained for the formation energy is 2.39 eV/f.u. Its space group is I4/mmm (139). The calculation puts the volume at 26.4 Å³ per atom. The calculation puts the energy at -4.511 eV/atom.

a = 5.614 Å, b = 5.614 Å, c = 5.614 Å
α = 115.48°, β = 115.48°, γ = 98.02°
Atoms (fractional coordinates):
Sr  0.250  0.750  0.500
Sr  0.750  0.250  0.500
Ga  0.000  0.000  0.000
Ru  0.337  0.337  0.000
Ru  0.663  0.663  0.000

***

# 11
The following is a GGA-PBE calculation of crystalline CaSc2SbRu at its relaxed geometry, from Alexandria via LeMat-Bulk.

Calculated values
The value obtained for the uncorrected formation energy is 0.751 eV per atom. Its space group is P4/mmm (123). The calculation puts the volume at 30.9 Å³ per atom. The calculation puts the energy at -4.861 eV/atom.

a = 5.265 Å, b = 5.265 Å, c = 5.564 Å
α = 90.00°, β = 90.00°, γ = 90.00°
Atoms (fractional coordinates):
Ca  0.000  0.000  0.000
Sc  0.000  0.500  0.500
Sc  0.500  0.000  0.500
Sb  0.000  0.000  0.500
Ru  0.500  0.500  0.000

***

# 12
The following is a GGA-PBE calculation of crystalline CsPrSiS4 at its relaxed geometry, from Alexandria via LeMat-Bulk.

Calculated values
The value obtained for the uncorrected formation energy is -1.453 eV per atom. Its space group is P2_1/m (11). The calculation puts the volume at 28.9 Å³ per atom. The calculation puts the energy at -5.391 eV/atom.

a = 6.584 Å, b = 6.767 Å, c = 9.560 Å
α = 90.00°, β = 107.98°, γ = 90.00°
Atoms (fractional coordinates):
Cs  0.224  0.250  0.434
Cs  0.776  0.750  0.566
Pr  0.271  0.250  0.954
Pr  0.729  0.750  0.046
Si  0.287  0.750  0.167
Si  0.713  0.250  0.833
S  0.095  0.750  0.308
S  0.098  0.750  0.942
S  0.500  0.002  0.797
S  0.500  0.498  0.797
S  0.500  0.502  0.203
S  0.500  0.998  0.203
S  0.902  0.250  0.058
S  0.905  0.250  0.692

***

no.,magnetization (μB/f.u.)
1,4.257
2,0.000
3,0.000
4,0.000
5,7.265
6,0.000
7,3.068
8,0.000
9,0.000
10,1.244
11,0.000
12,0.000